Entry 1:
# Dy4TlPt2 GGA-PBE relaxed
data_Dy4TlPt2
_chemical_formula_sum 'Dy12 Tl3 Pt6'
_cell_length_a 4.7199
_cell_length_b 4.7199
_cell_length_c 29.5534
_cell_angle_alpha 90.00
_cell_angle_beta 90.00
_cell_angle_gamma 120.00
_space_group_name_H-M_alt 'R -3 m'
_space_group_IT_number 166
_space_group_name_Hall '-R 3 2"'
loop_
_atom_site_label
_atom_site_fract_x
_atom_site_fract_y
_atom_site_fract_z
Dy1 0.0000 0.0000 0.1124
Dy2 0.0000 0.0000 0.2986
Tl1 0.0000 0.0000 0.5000
Pt1 0.0000 0.0000 0.3986
# E_tot: -38.04 eV per formula unit

Entry 2:
# YNi4Br GGA-PBE relaxed
data_YNi4Br
_chemical_formula_sum 'Y4 Ni16 Br4'
_cell_length_a 7.1362
_cell_length_b 7.1362
_cell_length_c 7.1362
_cell_angle_alpha 90.00
_cell_angle_beta 90.00
_cell_angle_gamma 90.00
_space_group_name_H-M_alt 'F -4 3 m'
_space_group_IT_number 216
_space_group_name_Hall 'F -4 2 3'
loop_
_atom_site_label
_atom_site_fract_x
_atom_site_fract_y
_atom_site_fract_z
Y1 0.0000 0.0000 0.0000
Ni1 0.1257 0.1257 0.3743
Br1 0.2500 0.2500 0.7500
# E_tot: -31.65 eV per formula unit
# formation energy from raw total energies: -6.3 kJ/mol of atoms

Entry 3:
# Pu2USe5 GGA-PBE relaxed
data_Pu2USe5
_chemical_formula_sum 'Pu4 U2 Se10'
_cell_length_a 7.8954
_cell_length_b 12.0930
_cell_length_c 4.1841
_cell_angle_alpha 90.00
_cell_angle_beta 90.00
_cell_angle_gamma 90.00
_space_group_name_H-M_alt 'P b a m'
_space_group_IT_number 55
_space_group_name_Hall '-P 2 2ab'
loop_
_atom_site_label
_atom_site_fract_x
_atom_site_fract_y
_atom_site_fract_z
Pu1 0.0470 0.1731 0.0000
U1 0.0000 0.5000 0.5000
Se1 0.0000 0.0000 0.5000
Se2 0.1659 0.7042 0.5000
Se3 0.1822 0.4080 0.0000
# E_tot: -67.96 eV per formula unit
# formation energy from raw total energies: -127.7 kJ/mol of atoms

Entry 4:
# BaYSn2Ru GGA-PBE relaxed
data_BaYSn2Ru
_chemical_formula_sum 'Ba1 Y1 Sn2 Ru1'
_cell_length_a 5.7051
_cell_length_b 5.7051
_cell_length_c 6.0280
_cell_angle_alpha 90.00
_cell_angle_beta 90.00
_cell_angle_gamma 90.00
_space_group_name_H-M_alt 'P 4/m m m'
_space_group_IT_number 123
_space_group_name_Hall '-P 4 2'
loop_
_atom_site_label
_atom_site_fract_x
_atom_site_fract_y
_atom_site_fract_z
Ba1 0.0000 0.0000 0.0000
Y1 0.0000 0.0000 0.5000
Sn1 0.0000 0.5000 0.5000
Ru1 0.5000 0.5000 0.0000
# E_tot: -19.57 eV per formula unit

Entry 5:
# SrCo3Pt GGA-PBE relaxed
data_SrCo3Pt
_chemical_formula_sum 'Sr1 Co3 Pt1'
_cell_length_a 4.5288
_cell_length_b 4.5288
_cell_length_c 4.5288
_cell_angle_alpha 90.00
_cell_angle_beta 90.00
_cell_angle_gamma 90.00
_space_group_name_H-M_alt 'P m -3 m'
_space_group_IT_number 221
_space_group_name_Hall '-P 4 2 3'
loop_
_atom_site_label
_atom_site_fract_x
_atom_site_fract_y
_atom_site_fract_z
Sr1 0.0000 0.0000 0.0000
Co1 0.0000 0.0000 0.5000
Pt1 0.5000 0.5000 0.5000
# energy above the lowest structure with this stoichiometry: 36.31 kcal/mol of atoms
# E_tot: -18.17 eV per formula unit

Entry 6:
# SrTb2Tl2 GGA-PBE relaxed
data_SrTb2Tl2
_chemical_formula_sum 'Sr2 Tb4 Tl4'
_cell_length_a 6.6278
_cell_length_b 6.7262
_cell_length_c 8.4105
_cell_angle_alpha 74.71
_cell_angle_beta 70.93
_cell_angle_gamma 67.50
_space_group_name_H-M_alt 'P -1'
_space_group_IT_number 2
_space_group_name_Hall '-P 1'
loop_
_atom_site_label
_atom_site_fract_x
_atom_site_fract_y
_atom_site_fract_z
Sr1 0.0943 0.3820 0.2516
Tb1 0.2970 0.9478 0.9264
Tb2 0.4318 0.7947 0.4801
Tl1 0.0146 0.8738 0.3236
Tl2 0.4244 0.4500 0.8359
# E_tot: -16.87 eV per formula unit

Entry 7:
# K2TlNi GGA-PBE relaxed
data_K2TlNi
_chemical_formula_sum 'K4 Tl2 Ni2'
_cell_length_a 7.8465
_cell_length_b 4.5259
_cell_length_c 9.4799
_cell_angle_alpha 90.00
_cell_angle_beta 105.55
_cell_angle_gamma 90.00
_space_group_name_H-M_alt 'C 1 m 1'
_space_group_IT_number 8
_space_group_name_Hall 'C -2y'
loop_
_atom_site_label
_atom_site_fract_x
_atom_site_fract_y
_atom_site_fract_z
K1 0.0000 0.0000 0.0000
K2 0.1726 0.0000 0.5352
Tl1 0.2529 0.5000 0.2677
Ni1 0.4196 0.0000 0.2678
# energy above the lowest structure with this stoichiometry: 0.00 kcal/mol of atoms
# E_tot: -9.67 eV per formula unit

Entry 8:
# Ca2CrCdFe GGA-PBE relaxed
data_Ca2CrCdFe
_chemical_formula_sum 'Ca2 Cr1 Cd1 Fe1'
_cell_length_a 5.2918
_cell_length_b 5.2918
_cell_length_c 5.0469
_cell_angle_alpha 90.00
_cell_angle_beta 90.00
_cell_angle_gamma 90.00
_space_group_name_H-M_alt 'P 4/m m m'
_space_group_IT_number 123
_space_group_name_Hall '-P 4 2'
loop_
_atom_site_label
_atom_site_fract_x
_atom_site_fract_y
_atom_site_fract_z
Ca1 0.0000 0.5000 0.0000
Cr1 0.0000 0.0000 0.5000
Cd1 0.5000 0.5000 0.5000
Fe1 0.5000 0.5000 0.0000
# E_tot: -19.26 eV per formula unit